Record 1
# GdSbO4 (GGA-PBE, optimized geometry)
# Uncorrected energy ... -8.6976 eV/atom
# Formation energy without anion corrections ... -2.358 eV per atom
data_GdSbO4
_cell_length_a 5.460
_cell_length_b 7.627
_cell_length_c 7.730
_cell_angle_alpha 80.55
_cell_angle_beta 88.27
_cell_angle_gamma 89.72
_space_group_name_H-M_alt 'P -1'
_space_group_IT_number 2
loop_
_space_group_symop_operation_xyz
'x,y,z'
'-x,-y,-z'
loop_
_atom_site_label
_atom_site_type_symbol
_atom_site_fract_x
_atom_site_fract_y
_atom_site_fract_z
_atom_site_occupancy
Gd1 Gd 0.215 0.395 0.343 1
Gd2 Gd 0.266 0.891 0.365 1
Sb1 Sb 0.238 0.303 0.837 1
Sb2 Sb 0.274 0.806 0.837 1
O1 O 0.010 0.878 0.669 1
O2 O 0.039 0.326 0.617 1
O3 O 0.087 0.806 0.063 1
O4 O 0.134 0.559 0.831 1
O5 O 0.382 0.058 0.828 1
O6 O 0.404 0.302 0.066 1
O7 O 0.474 0.625 0.317 1
O8 O 0.490 0.824 0.615 1

Record 2
# Gd2SbO2 (GGA-PBE, optimized geometry)
# Uncorrected energy ... -11.1081 eV/atom
# Formation energy without anion corrections ... -2.668 eV per atom
data_Gd2SbO2
_cell_length_a 3.901
_cell_length_b 3.901
_cell_length_c 13.514
_cell_angle_alpha 90.00
_cell_angle_beta 90.00
_cell_angle_gamma 90.00
_space_group_name_H-M_alt 'I 4/m m m'
_space_group_IT_number 139
_space_group_name_Hall '-I 4 2'
loop_
_atom_site_label
_atom_site_type_symbol
_atom_site_fract_x
_atom_site_fract_y
_atom_site_fract_z
_atom_site_occupancy
Gd1 Gd 0.000 0.000 0.164 1
Sb1 Sb 0.000 0.000 0.500 1
O1 O 0.000 0.500 0.250 1

Record 3
# GdYScSbO7 (GGA-PBE, optimized geometry)
# Uncorrected energy ... -8.9069 eV/atom
# Formation energy without anion corrections ... -2.934 eV per atom
data_GdYScSbO7
_cell_length_a 7.375
_cell_length_b 7.473
_cell_length_c 10.451
_cell_angle_alpha 90.00
_cell_angle_beta 90.00
_cell_angle_gamma 90.00
_space_group_name_H-M_alt 'I m m a'
_space_group_IT_number 74
_space_group_name_Hall '-I 2b 2'
loop_
_atom_site_label
_atom_site_type_symbol
_atom_site_fract_x
_atom_site_fract_y
_atom_site_fract_z
_atom_site_occupancy
Gd1 Gd 0.000 0.000 0.000 1
Y1 Y 0.250 0.250 0.250 1
Sc1 Sc 0.250 0.250 0.750 1
Sb1 Sb 0.000 0.000 0.500 1
O1 O 0.000 0.250 0.131 1
O2 O 0.000 0.250 0.427 1
O3 O 0.000 0.250 0.848 1
O4 O 0.200 0.029 0.626 1

Record 4
# Gd2ScO (GGA-PBE, optimized geometry)
# Uncorrected energy ... -10.9860 eV/atom
# Formation energy without anion corrections ... -1.123 eV per atom
data_Gd2ScO
_cell_length_a 3.4524
_cell_length_b 3.4524
_cell_length_c 27.0008
_cell_angle_alpha 90.00
_cell_angle_beta 90.00
_cell_angle_gamma 120.00
_space_group_name_H-M_alt 'R -3 m'
_space_group_IT_number 166
_space_group_name_Hall '-R 3 2"'
loop_
_atom_site_label
_atom_site_type_symbol
_atom_site_fract_x
_atom_site_fract_y
_atom_site_fract_z
_atom_site_occupancy
Gd1 Gd 0.0000 0.0000 0.1157 1
Sc1 Sc 0.0000 0.0000 0.0000 1
O1 O 0.0000 0.0000 0.5000 1

Record 5
# Gd3ScO (GGA-PBE, optimized geometry)
# Uncorrected energy ... -11.8146 eV/atom
# Formation energy without anion corrections ... -1.108 eV per atom
data_Gd3ScO
_cell_length_a 4.920
_cell_length_b 4.920
_cell_length_c 4.920
_cell_angle_alpha 90.00
_cell_angle_beta 90.00
_cell_angle_gamma 90.00
_space_group_name_H-M_alt 'P m -3 m'
_space_group_IT_number 221
_space_group_name_Hall '-P 4 2 3'
loop_
_atom_site_label
_atom_site_type_symbol
_atom_site_fract_x
_atom_site_fract_y
_atom_site_fract_z
_atom_site_occupancy
Gd1 Gd 0.000 0.000 0.500 1
Sc1 Sc 0.500 0.500 0.500 1
O1 O 0.000 0.000 0.000 1

Record 6
# Gd2Se2O (GGA-PBE, optimized geometry)
# Uncorrected energy ... -10.4918 eV/atom
# Formation energy without anion corrections ... -2.474 eV per atom
data_Gd2Se2O
_cell_length_a 16.304
_cell_length_b 3.976
_cell_length_c 7.101
_cell_angle_alpha 90.00
_cell_angle_beta 90.00
_cell_angle_gamma 90.00
_space_group_name_H-M_alt 'P n m a'
_space_group_IT_number 62
loop_
_space_group_symop_operation_xyz
'x,y,z'
'-x,-y,-z'
'-x+1/2,-y,z+1/2'
'x+1/2,y,-z+1/2'
'x+1/2,-y+1/2,-z+1/2'
'-x+1/2,y+1/2,z+1/2'
'-x,y+1/2,-z'
'x,-y+1/2,z'
loop_
_atom_site_label
_atom_site_type_symbol
_atom_site_fract_x
_atom_site_fract_y
_atom_site_fract_z
_atom_site_occupancy
Gd1 Gd 0.038 0.250 0.198 1
Gd2 Gd 0.161 0.250 0.760 1
Se1 Se 0.099 0.750 0.511 1
Se2 Se 0.180 0.750 0.052 1
O1 O 0.031 0.250 0.872 1

Record 7
# Gd2Se2O (GGA-PBE, optimized geometry)
# Uncorrected energy ... -10.1195 eV/atom
# Formation energy without anion corrections ... -2.102 eV per atom
data_Gd2Se2O
_cell_length_a 7.367
_cell_length_b 3.750
_cell_length_c 21.597
_cell_angle_alpha 90.00
_cell_angle_beta 90.00
_cell_angle_gamma 90.00
_space_group_name_H-M_alt 'P n m a'
_space_group_IT_number 62
loop_
_space_group_symop_operation_xyz
'x,y,z'
'-x,-y,-z'
'-x+1/2,-y,z+1/2'
'x+1/2,y,-z+1/2'
'x+1/2,-y+1/2,-z+1/2'
'-x+1/2,y+1/2,z+1/2'
'-x,y+1/2,-z'
'x,-y+1/2,z'
loop_
_atom_site_label
_atom_site_type_symbol
_atom_site_fract_x
_atom_site_fract_y
_atom_site_fract_z
_atom_site_occupancy
Gd1 Gd 0.249 0.250 0.162 1
Gd2 Gd 0.250 0.250 0.471 1
Se1 Se 0.006 0.250 0.578 1
Se2 Se 0.006 0.750 0.078 1
O1 O 0.249 0.750 0.208 1

Record 8
# GdSeO2 (GGA-PBE, optimized geometry)
# Uncorrected energy ... -7.5464 eV/atom
# Formation energy without anion corrections ... -0.676 eV per atom
data_GdSeO2
_cell_length_a 3.8381
_cell_length_b 3.8381
_cell_length_c 16.7801
_cell_angle_alpha 90.00
_cell_angle_beta 90.00
_cell_angle_gamma 120.00
_space_group_name_H-M_alt 'R -3 m'
_space_group_IT_number 166
_space_group_name_Hall '-R 3 2"'
loop_
_atom_site_label
_atom_site_type_symbol
_atom_site_fract_x
_atom_site_fract_y
_atom_site_fract_z
_atom_site_occupancy
Gd1 Gd 0.0000 0.0000 0.0000 1
Se1 Se 0.0000 0.0000 0.5000 1
O1 O 0.0000 0.0000 0.1299 1

Record 9
# Gd4TiSe4O4 (GGA-PBE, optimized geometry)
# Uncorrected energy ... -10.1616 eV/atom
# Formation energy without anion corrections ... -2.624 eV per atom
data_Gd4TiSe4O4
_cell_length_a 15.992
_cell_length_b 3.775
_cell_length_c 9.782
_cell_angle_alpha 90.00
_cell_angle_beta 118.05
_cell_angle_gamma 90.00
_space_group_name_H-M_alt 'C 1 2/m 1'
_space_group_IT_number 12
loop_
_space_group_symop_operation_xyz
'x,y,z'
'-x,-y,-z'
'-x,y,-z'
'x,-y,z'
'x+1/2,y+1/2,z'
'-x+1/2,-y+1/2,-z'
'-x+1/2,y+1/2,-z'
'x+1/2,-y+1/2,z'
loop_
_atom_site_label
_atom_site_type_symbol
_atom_site_fract_x
_atom_site_fract_y
_atom_site_fract_z
_atom_site_occupancy
Gd1 Gd 0.025 0.000 0.331 1
Gd2 Gd 0.223 0.500 0.326 1
Ti1 Ti 0.000 0.500 0.000 1
Se1 Se 0.116 0.500 0.632 1
Se2 Se 0.121 0.000 0.017 1
O1 O 0.051 0.500 0.221 1
O2 O 0.183 0.000 0.410 1